(1)
## ZnNi2Ir (PBE)

Data for a geometry-optimized ZnNi2Ir structure. Values from VASP.

Output
calculated formation energy = 0.087 eV per atom

```
&SYSTEM
  ibrav = 0, nat = 4, ntyp = 3
/
ATOMIC_SPECIES
Ir 192.22 Ir.upf
Ni 58.69 Ni.upf
Zn 65.41 Zn.upf
ATOMIC_POSITIONS crystal
Ir 0.500 0.500 0.755
Ni 0.000 0.000 0.011
Ni 0.500 0.500 0.246
Zn 0.000 0.000 0.488
CELL_PARAMETERS angstrom
2.621 0.006 0.000
-1.206 2.327 0.000
0.000 0.000 8.470
```


(2)
## Cs3AsBr (PBE)

Data for a geometry-optimized Cs3AsBr structure. Values from VASP.

Output
formation energy (no corrections) = -15.187 kcal/mol of atoms

```
&SYSTEM
  ibrav = 0, nat = 5, ntyp = 3
/
ATOMIC_SPECIES
Cs 132.91 Cs.upf
As 74.92 As.upf
Br 79.90 Br.upf
ATOMIC_POSITIONS crystal
Cs 0.000 0.500 0.000
Cs 0.000 0.000 0.500
Cs 0.500 0.000 0.000
As 0.000 0.000 0.000
Br 0.500 0.500 0.500
CELL_PARAMETERS angstrom
-2.214 -5.616 -3.362
5.718 -3.386 1.891
-3.184 -2.176 5.733
```


(3)
## MgIn4Pt (PBE)

Data for a geometry-optimized MgIn4Pt structure. Values from VASP.

Output
calculated formation energy = 0.292 eV per atom

```
&SYSTEM
  ibrav = 0, nat = 6, ntyp = 3
/
ATOMIC_SPECIES
Mg 24.30 Mg.upf
In 114.82 In.upf
Pt 195.08 Pt.upf
ATOMIC_POSITIONS crystal
Mg 0.750 0.750 0.750
In 0.876 0.375 0.375
In 0.375 0.375 0.876
In 0.375 0.876 0.375
In 0.375 0.375 0.375
Pt 0.000 0.000 0.000
CELL_PARAMETERS angstrom
0.000 4.186 4.186
4.186 0.000 4.186
4.186 4.186 0.000
```


(4)
## PaBiH (PBE)

Data for a geometry-optimized PaBiH structure. Values from VASP.

```
&SYSTEM
  ibrav = 0, nat = 3, ntyp = 3
/
ATOMIC_SPECIES
H 1.01 H.upf
Pa 231.04 Pa.upf
Bi 208.98 Bi.upf
ATOMIC_POSITIONS crystal
H 0.274 0.274 0.548
Pa 0.721 0.721 0.442
Bi 0.005 0.005 0.010
CELL_PARAMETERS angstrom
3.297 0.000 0.000
0.000 3.297 0.000
-1.648 -1.648 5.806
```


(5)
## Be2NbTc2 (PBE)

Data for a geometry-optimized Be2NbTc2 structure. Values from VASP.

Output
calculated formation energy = -0.313 eV per atom

```
&SYSTEM
  ibrav = 0, nat = 10, ntyp = 3
/
ATOMIC_SPECIES
Be 9.01 Be.upf
Nb 92.91 Nb.upf
Tc 98.00 Tc.upf
ATOMIC_POSITIONS crystal
Be 0.384 0.884 0.000
Be 0.884 0.616 0.000
Be 0.616 0.116 0.000
Be 0.116 0.384 0.000
Nb 0.000 0.000 0.000
Nb 0.500 0.500 0.000
Tc 0.176 0.676 0.500
Tc 0.676 0.824 0.500
Tc 0.824 0.324 0.500
Tc 0.324 0.176 0.500
CELL_PARAMETERS angstrom
-0.871 1.792 5.974
5.804 -1.975 1.438
1.142 2.852 -0.689
```


(6)
## NdDy2Cd4 (PBE)

Data for a geometry-optimized NdDy2Cd4 structure. Values from VASP.

Output
calculated formation energy = -0.148 eV per atom

```
&SYSTEM
  ibrav = 0, nat = 7, ntyp = 3
/
ATOMIC_SPECIES
Cd 112.41 Cd.upf
Nd 144.24 Nd.upf
Dy 162.50 Dy.upf
ATOMIC_POSITIONS crystal
Cd 0.380 0.880 0.761
Cd 0.880 0.380 0.761
Cd 0.620 0.120 0.239
Cd 0.120 0.620 0.239
Nd 0.000 0.000 0.000
Dy 0.741 0.741 0.482
Dy 0.259 0.259 0.518
CELL_PARAMETERS angstrom
-3.647 1.264 -3.721
3.833 0.025 -3.748
-1.231 -7.486 2.525
```


no.,raw total energy (eV per atom)
1,-5.34
2,-2.44
3,-2.81
4,-5.58
5,-7.96
6,-2.67